Entry 1:
16
Lattice="7.0277 0.0000 0.0000 0.0000 9.5918 0.0000 0.0000 0.0000 6.5092" Properties=species:S:1:pos:R:3 comment="Y2ErPt (GGA-PBE, relaxed)" mass_density_g_cm3=8.18 total_energy_ha_per_atom=-0.243 de_polymorph_mev_per_atom=0 delta_e_f_ev_per_atom=-0.7196 pbc="T T T"
Y 1.2724 0.5820 1.1781
Y 1.2724 4.2139 1.1781
Y 2.2414 5.3779 4.4327
Y 2.2414 9.0098 4.4327
Y 4.7863 0.5820 2.0765
Y 4.7863 4.2139 2.0765
Y 5.7553 5.3779 5.3310
Y 5.7553 9.0098 5.3310
Er 0.1999 2.3980 4.1134
Er 3.3140 7.1939 0.8588
Er 3.7138 2.3980 5.6504
Er 6.8278 7.1939 2.3958
Pt 0.7770 7.1939 6.2329
Pt 2.7369 2.3980 2.9783
Pt 4.2909 7.1939 3.5308
Pt 6.2507 2.3980 0.2763


Entry 2:
4
Lattice="0.0000 3.4854 3.4854 3.4854 0.0000 3.4854 3.4854 3.4854 0.0000" Properties=species:S:1:pos:R:3 comment="YErPt2 (GGA-PBE, relaxed)" mass_density_g_cm3=12.67 total_energy_ha_per_atom=-0.258 de_polymorph_mev_per_atom=50 delta_e_f_ev_per_atom=-1.2324 pbc="T T T"
Y 0.0000 0.0000 0.0000
Er 3.4854 3.4854 3.4854
Pt 1.7427 1.7427 1.7427
Pt 5.2281 5.2281 5.2281


Entry 3:
7
Lattice="6.1394 -1.8700 0.0000 6.1394 1.8700 0.0000 -3.9297 0.0000 8.1358" Properties=species:S:1:pos:R:3 comment="Y3Er2Pt2 (GGA-PBE, relaxed)" mass_density_g_cm3=8.81 total_energy_ha_per_atom=-0.242 delta_e_f_ev_per_atom=-0.7862 pbc="T T T"
Y 0.0000 0.0000 0.0000
Y -0.3048 0.0000 3.5304
Y 8.6540 0.0000 4.6054
Er 3.3666 0.0000 1.5155
Er 4.9826 0.0000 6.6203
Pt 0.9560 0.0000 6.2137
Pt 7.3932 0.0000 1.9220


Entry 4:
4
Lattice="3.5384 0.0000 0.0000 0.0000 3.5384 0.0000 0.0000 0.0000 6.9364" Properties=species:S:1:pos:R:3 comment="YErZnPt (GGA-PBE, relaxed)" mass_density_g_cm3=9.88 total_energy_ha_per_atom=-0.199 de_polymorph_mev_per_atom=0 delta_e_f_ev_per_atom=-0.8195 pbc="T T T"
Y 0.0000 0.0000 0.0000
Er 0.0000 0.0000 3.5632
Zn 1.7692 1.7692 1.8148
Pt 1.7692 1.7692 5.1791